Entry 1:
Ho4In2C: optimized geometry, PBE-GGA.

Summary:
* calculated formation energy: -2.64 eV/f.u.
* E_tot: -35.65 eV/cell
* E above lowest polymorph: 0.00 eV per formula unit
* calculated volume: 26.106 A^3/atom

abc: 8.3243 8.3243 8.3243
angles: 145.66 145.66 49.36
Last column: nearest neighbours and their distance in Å.
Element x y z (fractional)
Ho1 0.0000 0.5000 0.5000  2 C 2.46
Ho2 0.1612 0.1612 0.0000  1 C 2.44
Ho3 0.5000 0.0000 0.5000  2 C 2.46
Ho4 0.8388 0.8388 0.0000  1 C 2.44
In1 0.3683 0.3683 0.0000  9 Ho 3.13-3.50
In2 0.6317 0.6317 0.0000  9 Ho 3.13-3.50
C1 0.0000 0.0000 0.0000  6 Ho 2.44-2.46

=====

Entry 2:
Na2SeBr4: optimized geometry, PBE-GGA.

Summary:
* formation energy (no corrections): -869 meV/atom
* E_tot: -18.90 eV/cell
* calculated volume: 30.899 A^3/atom

abc: 6.5588 6.5588 6.5588
angles: 111.65 111.65 105.20
Last column: nearest neighbours and their distance in Å.
Element x y z (fractional)
Na1 0.2500 0.7500 0.5000  8 Br 3.28
Na2 0.7500 0.2500 0.5000  8 Br 3.28
Se1 0.0000 0.0000 0.0000  4 Br 2.61
Br1 0.2506 0.2506 0.5011  1 Se 2.61
Br2 0.2506 0.7494 0.0000  1 Se 2.61
Br3 0.7494 0.2506 0.0000  1 Se 2.61
Br4 0.7494 0.7494 0.4989  1 Se 2.61

=====

Entry 3:
NdSc3Se6: optimized geometry, PBE-GGA.

Summary:
* formation energy (no corrections): -1735 meV/atom
* E_tot: -124.05 eV/cell
* calculated volume: 24.114 A^3/atom

abc: 11.2339 3.9752 11.4617
angles: 90.00 109.57 90.00
Last column: nearest neighbours and their distance in Å.
Element x y z (fractional)
Nd1 0.0510 0.2500 0.2009  8 Se 3.00-3.10
Nd2 0.9490 0.7500 0.7991  8 Se 3.00-3.10
Sc1 0.1589 0.2500 0.5886  6 Se 2.64-2.76
Sc2 0.3198 0.7500 0.0012  7 Se 2.69-2.99
Sc3 0.4437 0.2500 0.3370  6 Se 2.71-2.78
Sc4 0.5563 0.7500 0.6630  6 Se 2.71-2.78
Sc5 0.6802 0.2500 0.9988  7 Se 2.69-2.99
Sc6 0.8411 0.7500 0.4114  6 Se 2.64-2.76
Se1 0.0827 0.7500 0.4123  3 Sc 2.71-2.76
Se2 0.1234 0.2500 0.9672  2 Sc 2.90, 3 Nd 3.00-3.05
Se3 0.2037 0.7500 0.7495  3 Sc 2.64-2.74
Se4 0.2713 0.7500 0.2308  3 Sc 2.76-2.86
Se5 0.3905 0.2500 0.5573  4 Sc 2.72-2.78
Se6 0.4777 0.2500 0.1141  4 Sc 2.69-2.99
Se7 0.5223 0.7500 0.8859  4 Sc 2.69-2.99
Se8 0.6095 0.7500 0.4427  4 Sc 2.72-2.78
Se9 0.7287 0.2500 0.7692  3 Sc 2.76-2.86
Se10 0.7962 0.2500 0.2505  3 Sc 2.64-2.74
Se11 0.8766 0.7500 0.0328  2 Sc 2.90, 3 Nd 3.00-3.05
Se12 0.9173 0.2500 0.5877  3 Sc 2.71-2.76